Record 1
CuWCl2 | PBE | relaxed

Cell: 9.5884 2.9259 7.4886 Å, 90.00 109.95 90.00°
Positions (direct):
Cu1 0.0000 0.0000 0.0000
Cu2 0.5000 0.5000 0.0000
W1 0.2680 0.0000 0.0006
W2 0.7680 0.5000 0.0006
Cl1 0.1804 0.5000 0.7242
Cl2 0.3274 0.5000 0.2769
Cl3 0.6804 0.0000 0.7242
Cl4 0.8274 0.0000 0.2769

Results
* calculated volume: 24.7 Å³ per atom
* total energy: -40.46 eV per cell
* energy relative to the elements, uncorrected: 0.128 eV per atom
* energy above the most stable polymorph in this dataset: 108 meV/atom

***

Record 2
CuWCl2 | PBE | relaxed

Cell: 3.5588 3.5588 11.7854 Å, 90.00 90.00 90.00°
Positions (direct):
Cu1 0.0000 0.0000 0.0000
Cu2 0.5000 0.5000 0.5000
W1 0.0000 0.5000 0.7500
W2 0.5000 0.0000 0.2500
Cl1 0.0000 0.0000 0.5000
Cl2 0.0000 0.5000 0.2500
Cl3 0.5000 0.0000 0.7500
Cl4 0.5000 0.5000 0.0000

Results
* calculated volume: 18.7 Å³ per atom
* total energy: -33.78 eV per cell
* energy relative to the elements, uncorrected: 0.964 eV per atom
* energy above the most stable polymorph in this dataset: 943 meV/atom

***

Record 3
CuWCl2 | PBE | relaxed

Cell: 3.1884 3.2304 8.0210 Å, 90.00 100.87 90.00°
Positions (direct):
Cu1 0.0000 0.0000 0.0000
W1 0.5775 0.5000 0.1637
Cl1 0.4242 0.5000 0.8413
Cl2 0.6852 0.0000 0.3908

Results
* calculated volume: 20.3 Å³ per atom
* total energy: -20.66 eV per cell
* energy relative to the elements, uncorrected: 0.020 eV per atom
* energy above the most stable polymorph in this dataset: 0 meV/atom

***

Record 4
CuW2Cl | PBE | relaxed

Cell: 3.3203 3.0729 7.4893 Å, 90.00 91.47 90.00°
Positions (direct):
Cu1 0.0000 0.0000 0.0000
W1 0.0003 0.0000 0.6178
W2 0.4816 0.5000 0.7972
Cl1 0.9983 0.5000 0.3519

Results
* calculated volume: 19.1 Å³ per atom
* total energy: -30.32 eV per cell
* energy relative to the elements, uncorrected: 0.382 eV per atom
* energy above the most stable polymorph in this dataset: 0 meV/atom

***

Record 5
Cu2WCl | PBE | relaxed

Cell: 3.6527 3.6527 4.3211 Å, 90.00 90.00 90.00°
Positions (direct):
Cu1 0.0000 0.5000 0.0000
Cu2 0.5000 0.0000 0.0000
W1 0.0000 0.0000 0.5000
Cl1 0.5000 0.5000 0.5000

Results
* calculated volume: 14.4 Å³ per atom
* total energy: -18.81 eV per cell
* energy relative to the elements, uncorrected: 1.046 eV per atom
* energy above the most stable polymorph in this dataset: 751 meV/atom

***

Record 6
CuWCl2 | PBE | relaxed

Cell: 2.8995 4.5644 12.2345 Å, 90.00 90.00 90.00°
Positions (direct):
Cu1 0.0000 0.0000 0.0000
Cu2 0.5000 0.5000 0.5000
W1 0.0000 0.5000 0.6769
W2 0.5000 0.0000 0.1769
Cl1 0.0000 0.0000 0.3440
Cl2 0.0000 0.5000 0.1617
Cl3 0.5000 0.0000 0.6617
Cl4 0.5000 0.5000 0.8440

Results
* calculated volume: 20.2 Å³ per atom
* total energy: -37.64 eV per cell
* energy relative to the elements, uncorrected: 0.481 eV per atom
* energy above the most stable polymorph in this dataset: 461 meV/atom

***

Record 7
CuWCl | PBE | relaxed

Cell: 4.3140 4.3140 2.7789 Å, 90.00 90.00 120.00°
Positions (direct):
Cu1 0.0000 0.0000 0.0000
W1 0.6667 0.3333 0.5000
Cl1 0.3333 0.6667 0.5000

Results
* calculated volume: 14.9 Å³ per atom
* total energy: -16.50 eV per cell
* energy relative to the elements, uncorrected: 0.800 eV per atom
* energy above the most stable polymorph in this dataset: 435 meV/atom

***

Record 8
CuWCl2 | PBE | relaxed

Cell: 2.9718 2.9718 8.0987 Å, 90.00 90.00 90.00°
Positions (direct):
Cu1 0.0000 0.0000 0.0000
W1 0.5000 0.5000 0.2184
Cl1 0.0000 0.0000 0.4083
Cl2 0.5000 0.5000 0.8204

Results
* calculated volume: 17.9 Å³ per atom
* total energy: -19.82 eV per cell
* energy relative to the elements, uncorrected: 0.230 eV per atom
* energy above the most stable polymorph in this dataset: 210 meV/atom

***

Record 9
Cu2WCl | PBE | relaxed

Cell: 2.8392 2.8392 8.2133 Å, 90.00 90.00 90.00°
Positions (direct):
Cu1 0.0000 0.0000 0.0000
Cu2 0.5000 0.5000 0.1802
W1 0.0000 0.0000 0.3951
Cl1 0.5000 0.5000 0.6040

Results
* calculated volume: 16.6 Å³ per atom
* total energy: -21.24 eV per cell
* energy relative to the elements, uncorrected: 0.439 eV per atom
* energy above the most stable polymorph in this dataset: 144 meV/atom

***

Record 10
CuW2Cl | PBE | relaxed

Cell: 3.2895 3.2895 7.0936 Å, 90.00 90.00 90.00°
Positions (direct):
Cu1 0.0000 0.0000 0.0000
W1 0.0000 0.0000 0.3714
W2 0.5000 0.5000 0.2075
Cl1 0.5000 0.5000 0.8295

Results
* calculated volume: 19.2 Å³ per atom
* total energy: -29.67 eV per cell
* energy relative to the elements, uncorrected: 0.544 eV per atom
* energy above the most stable polymorph in this dataset: 162 meV/atom

***

Record 11
CuW2Cl | PBE | relaxed

Cell: 9.7535 2.7954 4.8371 Å, 90.00 111.32 90.00°
Positions (direct):
Cu1 0.0000 0.0000 0.0000
Cu2 0.5000 0.5000 0.0000
W1 0.2524 0.0000 0.8268
W2 0.4834 0.0000 0.5135
W3 0.7524 0.5000 0.8268
W4 0.9834 0.5000 0.5135
Cl1 0.2588 0.5000 0.2569
Cl2 0.7588 0.0000 0.2569

Results
* calculated volume: 15.4 Å³ per atom
* total energy: -57.24 eV per cell
* energy relative to the elements, uncorrected: 0.808 eV per atom
* energy above the most stable polymorph in this dataset: 426 meV/atom

***

Record 12
Cu3WCl | PBE | relaxed

Cell: 4.3074 4.3074 4.3074 Å, 90.00 90.00 90.00°
Positions (direct):
Cu1 0.0000 0.0000 0.5000
Cu2 0.0000 0.5000 0.0000
Cu3 0.5000 0.0000 0.0000
W1 0.5000 0.5000 0.5000
Cl1 0.0000 0.0000 0.0000

Results
* calculated volume: 16.0 Å³ per atom
* total energy: -19.43 eV per cell
* energy relative to the elements, uncorrected: 1.531 eV per atom
* energy above the most stable polymorph in this dataset: 0 meV/atom

***

Number 1: density of states at the Fermi level 2.89 states/eV/f.u.. Number 2: density of states at the Fermi level 2.11 states/eV/f.u.. Number 3: density of states at the Fermi level 3.03 states/eV/f.u.. Number 4: density of states at the Fermi level 2.80 states/eV/f.u.. Number 5: density of states at the Fermi level 4.46 states/eV/f.u.. Number 6: density of states at the Fermi level 2.12 states/eV/f.u.. Number 7: density of states at the Fermi level 2.54 states/eV/f.u.. Number 8: density of states at the Fermi level 2.94 states/eV/f.u.. Number 9: density of states at the Fermi level 3.72 states/eV/f.u.. Number 10: density of states at the Fermi level 1.51 states/eV/f.u.. Number 11: density of states at the Fermi level 2.08 states/eV/f.u.. Number 12: density of states at the Fermi level 5.23 states/eV/f.u..